# KNi PBE optimized geometry
data_KNi
_chemical_formula_sum 'K6 Ni6'
_cell_length_a 12.1992
_cell_length_b 3.9431
_cell_length_c 7.8489
_cell_angle_alpha 90.00
_cell_angle_beta 97.68
_cell_angle_gamma 90.00
_space_group_name_H-M_alt 'C 1 m 1'
_space_group_IT_number 8
loop_
_space_group_symop_operation_xyz
'x,y,z'
'x,-y,z'
'x+1/2,y+1/2,z'
'x+1/2,-y+1/2,z'
loop_
_atom_site_label
_atom_site_fract_x
_atom_site_fract_y
_atom_site_fract_z
K1 0.0000 0.0000 0.0000
K2 0.0611 0.0000 0.5946
K3 0.2874 0.0000 0.2882
Ni1 0.2303 0.5000 0.9199
Ni2 0.2929 0.0000 0.8103
Ni3 0.2933 0.5000 0.6559
# Relative energy among the computed polymorphs = 0 meV/atom
# DFT formation energy = 0.513 eV per atom
# D(E_F) = 2.50 states/eV/f.u.
# Energy = -2.927 eV per atom

# LaScTlHg PBE optimized geometry
data_LaScTlHg
_chemical_formula_sum 'La4 Sc4 Tl4 Hg4'
_cell_length_a 7.5666
_cell_length_b 7.5666
_cell_length_c 7.5666
_cell_angle_alpha 90.00
_cell_angle_beta 90.00
_cell_angle_gamma 90.00
_space_group_name_H-M_alt 'F -4 3 m'
_space_group_IT_number 216
_space_group_name_Hall 'F -4 2 3'
loop_
_atom_site_label
_atom_site_fract_x
_atom_site_fract_y
_atom_site_fract_z
La1 0.0000 0.0000 0.0000
Sc1 0.0000 0.0000 0.5000
Tl1 0.2500 0.2500 0.2500
Hg1 0.2500 0.2500 0.7500
# DFT formation energy = -0.375 eV per atom
# D(E_F) = 4.66 states/eV/f.u.
# Energy = -3.856 eV per atom

# YMoRh2 PBE optimized geometry
data_YMoRh2
_chemical_formula_sum 'Y1 Mo1 Rh2'
_cell_length_a 4.3941
_cell_length_b 4.3941
_cell_length_c 3.6480
_cell_angle_alpha 90.00
_cell_angle_beta 90.00
_cell_angle_gamma 90.00
_space_group_name_H-M_alt 'P 4/m m m'
_space_group_IT_number 123
_space_group_name_Hall '-P 4 2'
loop_
_atom_site_label
_atom_site_fract_x
_atom_site_fract_y
_atom_site_fract_z
Y1 0.0000 0.0000 0.0000
Mo1 0.5000 0.5000 0.0000
Rh1 0.0000 0.5000 0.5000
# Relative energy among the computed polymorphs = 147 meV/atom
# DFT formation energy = -0.120 eV per atom
# D(E_F) = 4.44 states/eV/f.u.
# Energy = -8.119 eV per atom

# Pa3Fe2C6 PBE optimized geometry
data_Pa3Fe2C6
_chemical_formula_sum 'Pa6 Fe4 C12'
_cell_length_a 3.7325
_cell_length_b 3.7325
_cell_length_c 19.4487
_cell_angle_alpha 90.00
_cell_angle_beta 90.00
_cell_angle_gamma 90.00
_space_group_name_H-M_alt 'I 4/m m m'
_space_group_IT_number 139
_space_group_name_Hall '-I 4 2'
loop_
_atom_site_label
_atom_site_fract_x
_atom_site_fract_y
_atom_site_fract_z
Pa1 0.0000 0.0000 0.0000
Pa2 0.0000 0.0000 0.1818
Fe1 0.0000 0.0000 0.4032
C1 0.0000 0.0000 0.3011
C2 0.0000 0.5000 0.0835
# DFT formation energy = -0.100 eV per atom
# D(E_F) = 7.78 states/eV/f.u.
# Energy = -9.260 eV per atom

# La3Tb2HoS6 PBE optimized geometry
data_La3Tb2HoS6
_chemical_formula_sum 'La6 Tb4 Ho2 S12'
_cell_length_a 6.9333
_cell_length_b 12.0378
_cell_length_c 7.0619
_cell_angle_alpha 90.00
_cell_angle_beta 109.20
_cell_angle_gamma 90.00
_space_group_name_H-M_alt 'C 1 2/m 1'
_space_group_IT_number 12
loop_
_space_group_symop_operation_xyz
'x,y,z'
'-x,-y,-z'
'-x,y,-z'
'x,-y,z'
'x+1/2,y+1/2,z'
'-x+1/2,-y+1/2,-z'
'-x+1/2,y+1/2,-z'
'x+1/2,-y+1/2,z'
loop_
_atom_site_label
_atom_site_fract_x
_atom_site_fract_y
_atom_site_fract_z
La1 0.0000 0.0000 0.0000
La2 0.0000 0.3323 0.0000
Tb1 0.0000 0.1666 0.5000
Ho1 0.0000 0.5000 0.5000
S1 0.2419 0.3346 0.7299
S2 0.2461 0.0000 0.7309
# D(E_F) = 5.95 states/eV/f.u.
# Energy = -6.540 eV per atom
# Formation energy without anion corrections = -2.09 eV per atom

# Ho4HfAs5 PBE optimized geometry
data_Ho4HfAs5
_chemical_formula_sum 'Ho8 Hf2 As10'
_cell_length_a 9.0170
_cell_length_b 9.0170
_cell_length_c 5.7156
_cell_angle_alpha 90.00
_cell_angle_beta 90.00
_cell_angle_gamma 90.00
_space_group_name_H-M_alt 'I 4/m'
_space_group_IT_number 87
_space_group_name_Hall '-I 4'
loop_
_atom_site_label
_atom_site_fract_x
_atom_site_fract_y
_atom_site_fract_z
Ho1 0.0965 0.3009 0.0000
Hf1 0.0000 0.0000 0.5000
As1 0.0000 0.0000 0.0000
As2 0.0976 0.2901 0.5000
# DFT formation energy = -1.417 eV per atom
# D(E_F) = 2.14 states/eV/f.u.
# Energy = -6.569 eV per atom

# LaDyTe3Pd PBE optimized geometry
data_LaDyTe3Pd
_chemical_formula_sum 'La2 Dy2 Te6 Pd2'
_cell_length_a 8.3458
_cell_length_b 4.2976
_cell_length_c 10.1694
_cell_angle_alpha 90.00
_cell_angle_beta 102.01
_cell_angle_gamma 90.00
_space_group_name_H-M_alt 'P 1 21/m 1'
_space_group_IT_number 11
loop_
_space_group_symop_operation_xyz
'x,y,z'
'-x,-y,-z'
'-x,y+1/2,-z'
'x,-y+1/2,z'
loop_
_atom_site_label
_atom_site_fract_x
_atom_site_fract_y
_atom_site_fract_z
La1 0.1912 0.2500 0.2894
Dy1 0.3193 0.7500 0.8232
Te1 0.0754 0.2500 0.8628
Te2 0.2675 0.7500 0.5260
Te3 0.4091 0.7500 0.1464
Pd1 0.0831 0.2500 0.5955
# D(E_F) = 0.52 states/eV/f.u.
# Energy = -5.346 eV per atom
# Formation energy without anion corrections = -1.32 eV per atom

# CsHg3Pt PBE optimized geometry
data_CsHg3Pt
_chemical_formula_sum 'Cs8 Hg24 Pt8'
_cell_length_a 14.2664
_cell_length_b 13.4026
_cell_length_c 6.4706
_cell_angle_alpha 90.00
_cell_angle_beta 90.00
_cell_angle_gamma 90.00
_space_group_name_H-M_alt 'C m c e'
_space_group_IT_number 64
_space_group_name_Hall '-C 2ac 2'
loop_
_atom_site_label
_atom_site_fract_x
_atom_site_fract_y
_atom_site_fract_z
Cs1 0.2500 0.1638 0.2500
Hg1 0.0000 0.2292 0.0990
Hg2 0.1204 0.0681 0.7716
Pt1 0.0000 0.0877 0.4029
# Relative energy among the computed polymorphs = 140 meV/atom
# DFT formation energy = -0.163 eV per atom
# D(E_F) = 1.86 states/eV/f.u.
# Energy = -1.722 eV per atom